1.
3
Lattice="-1.872 1.872 6.839 1.872 -1.872 6.839 1.872 1.872 -6.839" Properties=species:S:1:pos:R:3 comment="SrLaZn | Alexandria via LeMat-Bulk | meta-GGA SCAN | PBEsol geometry" sg="I4mm, No. 107" total_energy_ev_per_atom=-26.476 delta_e_f_ev_per_atom=-0.18 polymorph_energy_ev_per_fu=0.00 pbc="T T T"
Sr 0.000 0.000 0.000
La 0.000 0.000 3.656
Zn 0.000 0.000 8.845



2.
4
Lattice="3.817 0.000 0.000 0.000 3.817 0.000 0.000 0.000 10.002" Properties=species:S:1:pos:R:3 comment="Sr2LaZn | Alexandria via LeMat-Bulk | meta-GGA SCAN | PBEsol geometry" sg="P4mm, No. 99" total_energy_ev_per_atom=-25.408 delta_e_f_ev_per_atom=-0.12 pbc="T T T"
Sr 0.000 0.000 0.000
Sr 1.909 1.909 3.386
La 1.909 1.909 6.987
Zn 0.000 0.000 5.371



3.
4
Lattice="-1.825 2.807 6.195 1.825 -2.807 6.195 1.825 2.807 -6.195" Properties=species:S:1:pos:R:3 comment="SrLa2Zn | Alexandria via LeMat-Bulk | meta-GGA SCAN | PBEsol geometry" sg="Immm, No. 71" total_energy_ev_per_atom=-30.602 delta_e_f_ev_per_atom=-0.10 pbc="T T T"
Sr 0.000 0.000 0.000
La 1.825 0.000 3.619
La 0.000 2.807 2.576
Zn 0.000 0.000 6.195



4.
4
Lattice="3.839 0.000 0.000 0.000 3.839 0.000 0.000 0.000 9.285" Properties=species:S:1:pos:R:3 comment="SrLa2Zn | Alexandria via LeMat-Bulk | meta-GGA SCAN | PBEsol geometry" sg="P4/mmm, No. 123" total_energy_ev_per_atom=-30.625 delta_e_f_ev_per_atom=-0.12 pbc="T T T"
Sr 0.000 0.000 0.000
La 1.920 1.920 3.061
La 1.920 1.920 6.224
Zn 0.000 0.000 4.642



5.
4
Lattice="3.729 0.000 0.000 0.000 3.729 0.000 0.000 0.000 9.273" Properties=species:S:1:pos:R:3 comment="SrLa2Zn | Alexandria via LeMat-Bulk | meta-GGA SCAN | PBEsol geometry" sg="P4mm, No. 99" total_energy_ev_per_atom=-30.615 delta_e_f_ev_per_atom=-0.12 pbc="T T T"
Sr 0.000 0.000 0.000
La 0.000 0.000 3.744
La 1.864 1.864 6.162
Zn 1.864 1.864 2.008



6.
4
Lattice="4.270 0.000 0.000 0.000 4.270 0.000 0.000 0.000 7.902" Properties=species:S:1:pos:R:3 comment="Sr2LaZr | Alexandria via LeMat-Bulk | meta-GGA SCAN | PBEsol geometry" sg="P4/mmm, No. 123" total_energy_ev_per_atom=-29.017 delta_e_f_ev_per_atom=0.57 polymorph_energy_ev_per_fu=1.09 pbc="T T T"
Sr 0.000 0.000 1.800
Sr 0.000 0.000 6.103
La 2.135 2.135 3.951
Zr 2.135 2.135 0.000